1.
# Th4CoAsSe2

A relaxed structure of Th4CoAsSe2 (PBE, the Alexandria database).

VASP energy = -7.2527 eV/atom
M_tot = 0.00 μB/cell
E_form (uncorrected) = -1202 meV/atom
V = 211 Å³/cell

abc: 7.3921 4.0473 7.4258
angles: 90.00 108.44 90.00
Closest atoms and distances in Å follow each position.
Space group P2/m (No. 10)
One atom of each set of equivalent atoms:
Th 0.2162 0.0000 0.2198 x2  2 Co 2.77, 1 As 3.00, 1 Se 3.04
Th 0.2368 0.5000 0.7557 x2  1 Co 2.89, 2 As 2.94, 3 Se 2.99-3.12
Co 0.0000 0.5000 0.0000 x1  6 Th 2.77-2.89
As 0.0000 0.0000 0.5000 x1  6 Th 2.94-3.00
Se 0.5000 0.0000 0.0000 x1  6 Th 2.99-3.04
Se 0.5000 0.5000 0.5000 x1  6 Th 3.12-3.17

---

2.
# TiCoAsSe2

A relaxed structure of TiCoAsSe2 (PBE, the Alexandria database).

VASP energy = -5.0549 eV/atom
M_tot = 0.00 μB/cell
E_form (uncorrected) = 269 meV/atom
V = 98 Å³/cell
ΔE to the lowest computed polymorph = 0.000 eV/atom

abc: 4.7179 4.7179 4.3876
angles: 90.00 90.00 90.00
Closest atoms and distances in Å follow each position.
Space group P4/mmm (No. 123)
One atom of each set of equivalent atoms:
Ti 0.0000 0.0000 0.0000 x1  8 Se 3.22, 4 As 3.34
Co 0.5000 0.5000 0.5000 x1  2 As 2.19, 4 Se 2.36
As 0.5000 0.5000 0.0000 x1  2 Co 2.19
Se 0.0000 0.5000 0.5000 x2  2 Co 2.36

---

3.
# TiCoAsSe2

A relaxed structure of TiCoAsSe2 (PBE, the Alexandria database).

VASP energy = -4.9154 eV/atom
M_tot = 2.72 μB/cell
E_form (uncorrected) = 408 meV/atom
V = 117 Å³/cell
ΔE to the lowest computed polymorph = 0.139 eV/atom

abc: 4.8790 4.8790 4.9094
angles: 90.00 90.00 90.00
Closest atoms and distances in Å follow each position.
Space group P4/mmm (No. 123)
One atom of each set of equivalent atoms:
Ti 0.0000 0.0000 0.0000 x1  4 Se 2.44, 2 As 2.45
Co 0.5000 0.5000 0.5000 x1  4 As 3.45, 8 Se 3.46
As 0.0000 0.0000 0.5000 x1  2 Ti 2.45
Se 0.0000 0.5000 0.0000 x2  2 Ti 2.44

---

4.
# TlCoAs2Se

A relaxed structure of TlCoAs2Se (PBE, the Alexandria database).

VASP energy = -4.2280 eV/atom
M_tot = 0.00 μB/cell
E_form (uncorrected) = 223 meV/atom
V = 111 Å³/cell
ΔE to the lowest computed polymorph = 0.000 eV/atom

abc: 4.5088 4.5088 5.4828
angles: 90.00 90.00 90.00
Closest atoms and distances in Å follow each position.
Space group P4/mmm (No. 123)
One atom of each set of equivalent atoms:
Tl 0.0000 0.0000 0.0000 x1  4 Se 3.19, 8 As 3.55
Co 0.5000 0.5000 0.5000 x1  4 As 2.25
As 0.0000 0.5000 0.5000 x2  2 Co 2.25
Se 0.5000 0.5000 0.0000 x1  2 Co 2.74